(1)
DFT (PBE) results for a geometry-optimized Tb2Dy4Ho5 structure.

Computed properties:
E_tot (eV per cell): -47.96
Space group: Immm
N(E_F) (states/eV per atom): 1.489
Formation energy (kJ per mole of atoms): 23

Unit cell a=3.474 b=8.972 c=12.453 alpha=111.12 beta=98.02 gamma=90.00
Atoms (fractional coordinates):
Ho (0.500, 0.000, 0.000)
Ho (0.856, 0.658, 0.711)
Ho (0.144, 0.342, 0.289)
Ho (0.856, 0.053, 0.711)
Ho (0.144, 0.947, 0.289)
Dy (0.403, 0.403, 0.806)
Dy (0.597, 0.597, 0.194)
Dy (0.000, 0.693, 0.000)
Dy (0.000, 0.307, 0.000)
Tb (0.731, 0.731, 0.463)
Tb (0.269, 0.269, 0.537)

---

(2)
DFT (PBE) results for a geometry-optimized Tb5Dy6Ho structure.

Computed properties:
E_tot (eV per cell): -55.16
Space group: C2/m
N(E_F) (states/eV per atom): 1.264
Formation energy (kJ per mole of atoms): 1

Unit cell a=11.733 b=6.134 c=6.130 alpha=59.98 beta=85.03 gamma=80.04
Atoms (fractional coordinates):
Dy (0.250, 0.250, 0.000)
Dy (0.750, 0.750, 0.000)
Dy (0.250, 0.917, 0.667)
Dy (0.750, 0.417, 0.667)
Dy (0.750, 0.083, 0.333)
Dy (0.250, 0.583, 0.333)
Tb (0.500, 0.167, 0.667)
Tb (0.500, 0.500, 0.000)
Tb (0.000, 0.667, 0.667)
Tb (0.000, 0.333, 0.333)
Tb (0.500, 0.833, 0.333)
Ho (0.000, 0.000, 0.000)